K3CoTe2O9 | GGA+U | optimized geometry Values from VASP.

total energy	-76.27	eV for the cell shown

```
&SYSTEM
  ibrav = 0, nat = 15, ntyp = 4
/
ATOMIC_SPECIES
K 39.10 K.upf
Co 58.93 Co.upf
Te 127.60 Te.upf
O 16.00 O.upf
CELL_PARAMETERS angstrom
-1.967 -3.409 4.106
0.354 -1.902 -5.349
6.500 -2.262 1.235
ATOMIC_POSITIONS crystal
K 0.333 0.667 0.661
K 0.000 0.000 0.000
K 0.667 0.333 0.339
Co 0.000 0.000 0.500
Te 0.333 0.667 0.176
Te 0.667 0.333 0.824
O 0.829 0.171 0.676
O 0.829 0.659 0.676
O 0.341 0.171 0.676
O 0.659 0.829 0.324
O 0.171 0.341 0.324
O 0.171 0.829 0.324
O 0.500 0.000 0.000
O 0.000 0.500 0.000
O 0.500 0.500 0.000
```